Below is crystalline Rb2YPuS4 at its relaxed geometry, with properties calculated at the PBE level.

```
Rb2YPuS4
1.0
-2.700 2.735 -1.489
-2.557 -4.958 -4.468
-4.246 -0.493 6.792
Rb Y Pu S
2 1 1 4
direct
0.500 0.000 0.500
0.000 0.500 0.500
0.000 0.000 0.000
0.500 0.500 0.000
0.500 0.228 0.193
0.500 0.772 0.807
0.000 0.268 0.810
0.000 0.732 0.190
```

Below is crystalline Rb2PuZnS4 at its relaxed geometry, with properties calculated at the PBE level.

```
Rb2PuZnS4
1.0
-3.207 3.057 -6.049
-5.480 -5.736 0.006
-5.168 4.942 5.238
Rb Pu Zn S
4 2 2 8
direct
0.502 0.239 0.246
0.502 0.239 0.754
0.002 0.761 0.746
0.002 0.761 0.254
0.000 0.209 0.500
0.500 0.791 0.000
0.500 0.811 0.500
0.000 0.189 0.000
0.245 0.996 0.000
0.745 0.004 0.500
0.257 0.007 0.500
0.757 0.993 0.000
0.498 0.665 0.730
0.998 0.335 0.230
0.998 0.335 0.770
0.498 0.665 0.270
```

Below is crystalline Rb4Pu3ZnS8 at its relaxed geometry, with properties calculated at the PBE level.

```
Rb4Pu3ZnS8
1.0
-4.350 6.688 -1.404
-1.454 0.900 8.791
7.830 -0.341 -2.513
Rb Pu Zn S
4 3 1 8
direct
0.500 0.000 0.000
0.500 0.000 0.500
0.000 0.000 0.000
0.000 0.000 0.500
0.500 0.500 0.000
0.500 0.500 0.500
0.000 0.500 0.500
0.000 0.500 0.000
0.218 0.681 0.960
0.239 0.694 0.478
0.270 0.308 0.539
0.742 0.681 0.960
0.258 0.319 0.040
0.730 0.692 0.461
0.761 0.306 0.522
0.782 0.319 0.040
```

Below is crystalline RbPu2ZnS4 at its relaxed geometry, with properties calculated at the PBE level.

```
RbPu2ZnS4
1.0
4.037 0.000 0.000
-2.018 7.051 0.000
0.000 0.000 14.037
Rb Pu Zn S
2 4 2 8
direct
0.107 0.213 0.750
0.893 0.787 0.250
0.369 0.738 0.552
0.631 0.262 0.052
0.631 0.262 0.448
0.369 0.738 0.948
0.833 0.666 0.750
0.167 0.334 0.250
0.258 0.515 0.110
0.742 0.485 0.610
0.742 0.485 0.890
0.258 0.515 0.390
0.000 0.000 0.500
0.000 0.000 0.000
0.423 0.846 0.750
0.577 0.154 0.250
```

Below is crystalline Rb3Pu3ZrS8 at its relaxed geometry, with properties calculated at the PBE level.

```
Rb3Pu3ZrS8
1.0
8.053 0.000 0.000
-4.026 6.976 -0.026
0.000 -4.621 7.812
Rb Pu Zr S
3 3 1 8
direct
0.000 0.000 0.000
0.000 0.500 0.000
0.500 0.500 0.000
0.500 0.000 0.500
0.500 0.500 0.500
0.000 0.500 0.500
0.000 0.000 0.500
0.270 0.541 0.311
0.730 0.459 0.689
0.781 0.562 0.317
0.219 0.438 0.683
0.781 0.036 0.317
0.219 0.964 0.683
0.255 0.036 0.317
0.745 0.964 0.683
```

Below is crystalline Rb3Pu2ZrS6 at its relaxed geometry, with properties calculated at the PBE level.

```
Rb3Pu2ZrS6
1.0
7.001 -0.001 0.000
-3.499 6.063 0.000
-1.168 -2.022 7.672
Rb Pu Zr S
3 2 1 6
direct
0.169 0.831 0.500
0.831 0.169 0.500
0.500 0.500 0.500
0.333 0.667 0.000
0.667 0.333 0.000
0.000 0.000 0.000
0.937 0.620 0.810
0.747 0.747 0.191
0.063 0.380 0.190
0.620 0.937 0.810
0.253 0.253 0.809
0.380 0.063 0.190
```

Below is crystalline RbPuSb at its relaxed geometry, with properties calculated at the PBE level.

```
RbPuSb
1.0
-4.010 1.394 0.519
-1.317 -12.183 4.928
4.249 12.392 -0.451
Sb Rb Pu
2 2 2
direct
0.033 0.067 0.711
0.967 0.933 0.289
0.321 0.642 0.820
0.679 0.358 0.180
0.354 0.707 0.249
0.646 0.293 0.751
```

Below is crystalline RbPuSb at its relaxed geometry, with properties calculated at the PBE level.

```
RbPuSb
1.0
4.219 0.000 0.000
0.000 4.219 0.000
-2.110 -2.110 6.936
Sb Rb Pu
1 1 1
direct
0.708 0.708 0.417
0.015 0.015 0.030
0.277 0.277 0.554
```

Computed VASP energy, in the same sequence as the records: -6.601, -5.295, -6.380, -7.323, -7.408, -6.941, -6.833, -6.614 eV/atom.
Computed D(E_F), in the same sequence as the records: 1.35, 0.48, 1.97, 2.19, 1.79, 1.69, 2.83, 4.68 states/eV per atom.